No. 1
A crystal of Be2InSb relaxed with PBEsol. Source: Alexandria, functional meta-GGA SCAN.

The structure belongs to space group Fm-3m (No. 225); the cell edges are 6.5445, 6.5445 and 6.5445 Å and the angles 90.00°, 90.00° and 90.00°. The inequivalent atoms are Be at (0.2500, 0.2500, 0.2500), In at (0.0000, 0.0000, 0.0000) and Sb at (0.0000, 0.0000, 0.5000).

The uncorrected formation energy is 0.68 eV per atom. The value obtained for the total magnetization is 0.000 μB/atom.

=====

No. 2
A crystal of SrAgHPb2 relaxed with PBEsol. Source: Alexandria, functional meta-GGA SCAN.

The structure belongs to space group P4/mmm (No. 123); the cell edges are 5.3694, 5.3694 and 3.9165 Å and the angles 90.00°, 90.00° and 90.00°. The inequivalent atoms are Sr at (0.0000, 0.0000, 0.0000), Ag at (0.5000, 0.5000, 0.0000), H at (0.5000, 0.5000, 0.5000) and Pb at (0.0000, 0.5000, 0.5000).

The calculated total energy is -41.7943 eV/atom. The value obtained for the total magnetization is 0.000 μB/atom.

=====

No. 3
A crystal of HgTe2Br relaxed with PBEsol. Source: Alexandria, functional meta-GGA SCAN.

The structure belongs to space group F-43m (No. 216); the cell edges are 7.4522, 7.4522 and 7.4522 Å and the angles 90.00°, 90.00° and 90.00°. The inequivalent atoms are Hg at (0.0000, 0.0000, 0.0000), Te at (0.0000, 0.0000, 0.5000), Te at (0.2500, 0.2500, 0.2500) and Br at (0.2500, 0.2500, 0.7500).

The uncorrected formation energy is 0.20 eV per atom. The value obtained for the total magnetization is 0.000 μB/atom.

=====

No. 4
A crystal of Rb2ZrBAs relaxed with PBEsol. Source: Alexandria, functional meta-GGA SCAN.

The structure belongs to space group P4/mmm (No. 123); the cell edges are 6.9899, 6.9899 and 3.6074 Å and the angles 90.00°, 90.00° and 90.00°. The inequivalent atoms are Rb at (0.0000, 0.5000, 0.0000), Zr at (0.0000, 0.0000, 0.5000), B at (0.5000, 0.5000, 0.5000) and As at (0.5000, 0.5000, 0.0000).

As for the energy of formation: 1.0799 eV/atom. The value obtained for the total magnetization is 0.793 μB/atom.

=====

No. 5
A crystal of HfTlSiSe2 relaxed with PBEsol. Source: Alexandria, functional meta-GGA SCAN.

The structure belongs to space group P4/mmm (No. 123); the cell edges are 5.1205, 5.1205 and 5.5398 Å and the angles 90.00°, 90.00° and 90.00°. The inequivalent atoms are Hf at (0.0000, 0.0000, 0.0000), Tl at (0.0000, 0.0000, 0.5000), Si at (0.5000, 0.5000, 0.0000) and Se at (0.0000, 0.5000, 0.5000).

The uncorrected formation energy is 1.37 eV per atom. The value obtained for the total magnetization is 0.000 μB/atom.

=====

No. 6
A crystal of Ta2Zn2CuO8 relaxed with PBEsol. Source: Alexandria, functional meta-GGA SCAN.

The structure belongs to space group C2/c (No. 15); the cell edges are 18.9508, 5.9126 and 5.1621 Å and the angles 90.00°, 91.75° and 90.00°. The inequivalent atoms are Ta at (0.1142, 0.1582, 0.2330), Zn at (0.2207, 0.3456, 0.7395), Cu at (0.0000, 0.3582, 0.7500), O at (0.0567, 0.3688, 0.0628), O at (0.0697, 0.1159, 0.5657), O at (0.1802, 0.0992, 0.9367) and O at (0.1923, 0.3561, 0.3639).

The uncorrected formation energy is -2.24 eV per atom. The value obtained for the total magnetization is 0.077 μB/atom.

=====

For each record above, in turn, the calculated mass density values are 6033; 8984; 8597; 3278; 6504; 7861 kg/m3.